# TlCo2SbF8 (PBE with a Hubbard U, relaxed)
data_TlCo2SbF8
_cell_length_a 5.323
_cell_length_b 5.377
_cell_length_c 7.748
_cell_angle_alpha 78.87
_cell_angle_beta 79.24
_cell_angle_gamma 77.61
_space_group_name_H-M_alt 'P -1'
_space_group_IT_number 2
_space_group_name_Hall '-P 1'
loop_
_atom_site_label
_atom_site_fract_x
_atom_site_fract_y
_atom_site_fract_z
Tl1 0.000 0.000 0.000
Co1 0.451 0.449 0.215
Sb1 0.000 0.000 0.500
F1 0.201 0.738 0.715
F2 0.250 0.785 0.290
F3 0.278 0.259 0.437
F4 0.355 0.339 0.009
# **Magnetization**: 6.0 Bohr magnetons per cell
# **Calculated volume**: 210 Å³/cell
# **Fermi-level density of states**: 0.0 states/eV per cell
# **Calculated total energy**: -4.7095 eV/atom